! PuAl6Ag6 PBE relaxed; values from VASP
! space-group type: Immm
! magnetization: 5.86 μB/f.u.
! DOS(E_F): 15.482 states/eV/f.u.
! formation enthalpy at 0 K: -0.111 eV per atom
&SYSTEM
  ibrav = 0, nat = 13, ntyp = 3
/
ATOMIC_SPECIES
Pu 244.00 Pu.upf
Al 26.98 Al.upf
Ag 107.87 Ag.upf
CELL_PARAMETERS angstrom
5.0058 0.0000 2.0008
2.4316 6.5766 1.1787
0.0610 0.0346 7.1097
ATOMIC_POSITIONS crystal
Pu 0.0000 0.0000 0.0000
Al 0.0000 0.5000 0.0000
Al 0.5000 0.5000 0.0000
Al 0.0000 0.0000 0.5000
Al 0.5000 0.0000 0.5000
Al 0.5000 0.7762 0.2238
Al 0.5000 0.2238 0.7762
Ag 0.3478 0.6522 0.6522
Ag 0.6522 0.3478 0.3478
Ag 0.0000 0.3410 0.6590
Ag 0.0000 0.6590 0.3410
Ag 0.2995 0.2005 0.2005
Ag 0.7005 0.7995 0.7995

***

! Na2Tl7Pb2 PBE relaxed; values from VASP
! space-group type: C2/m
! magnetization: 0.00 μB/f.u.
! energy above the lowest structure with this stoichiometry: 0.000 eV per atom
! DOS(E_F): 4.970 states/eV/f.u.
! formation enthalpy at 0 K: -0.039 eV per atom
&SYSTEM
  ibrav = 0, nat = 11, ntyp = 3
/
ATOMIC_SPECIES
Na 22.99 Na.upf
Tl 204.38 Tl.upf
Pb 207.20 Pb.upf
CELL_PARAMETERS angstrom
-2.5320 1.4556 3.8225
3.7044 -10.4858 -2.6071
6.9236 6.3224 2.1785
ATOMIC_POSITIONS crystal
Na 0.5000 0.0000 0.2681
Na 0.5000 0.0000 0.7319
Tl 0.5087 0.6729 0.5805
Tl 0.4913 0.3271 0.9077
Tl 0.4913 0.3271 0.4195
Tl 0.5087 0.6729 0.0923
Tl 0.0000 0.0000 0.0000
Tl 0.9957 0.6651 0.3326
Tl 0.0043 0.3349 0.6674
Pb 0.9916 0.6602 0.8301
Pb 0.0084 0.3398 0.1699

***

! RhPb2 PBE relaxed; values from VASP
! space-group type: Pnnm
! magnetization: 0.00 μB/f.u.
! DOS(E_F): 1.780 states/eV/f.u.
! formation enthalpy at 0 K: -0.030 eV per atom
&SYSTEM
  ibrav = 0, nat = 6, ntyp = 2
/
ATOMIC_SPECIES
Pb 207.20 Pb.upf
Rh 102.91 Rh.upf
CELL_PARAMETERS angstrom
3.6373 0.0000 0.0000
0.0000 6.4110 0.0000
0.0000 0.0000 6.7352
ATOMIC_POSITIONS crystal
Pb 0.0000 0.2328 0.6644
Pb 0.0000 0.7672 0.3356
Pb 0.5000 0.7328 0.8356
Pb 0.5000 0.2672 0.1644
Rh 0.0000 0.0000 0.0000
Rh 0.5000 0.5000 0.5000

***

! LaSmDy2Tm5 PBE relaxed; values from VASP
! space-group type: I4/mcm
! magnetization: 0.00 μB/f.u.
! DOS(E_F): 10.992 states/eV/f.u.
! formation enthalpy at 0 K: 0.275 eV per atom
&SYSTEM
  ibrav = 0, nat = 18, ntyp = 4
/
ATOMIC_SPECIES
La 138.91 La.upf
Sm 150.36 Sm.upf
Dy 162.50 Dy.upf
Tm 168.93 Tm.upf
CELL_PARAMETERS angstrom
-4.2764 1.7513 7.5109
-6.0471 -6.0918 -2.0226
9.2046 -3.0081 0.7652
ATOMIC_POSITIONS crystal
La 0.2500 0.2500 0.5000
La 0.7500 0.7500 0.5000
Sm 0.2500 0.7500 0.5000
Sm 0.7500 0.2500 0.5000
Dy 0.1144 0.3856 0.0000
Dy 0.6144 0.1144 0.0000
Dy 0.3856 0.8856 0.0000
Dy 0.8856 0.6144 0.0000
Tm 0.9266 0.4266 0.2627
Tm 0.6639 0.1639 0.7373
Tm 0.0734 0.5734 0.7373
Tm 0.1639 0.0734 0.7373
Tm 0.5734 0.6639 0.7373
Tm 0.8361 0.9266 0.2627
Tm 0.4266 0.3361 0.2627
Tm 0.3361 0.8361 0.2627
Tm 0.5000 0.5000 0.0000
Tm 0.0000 0.0000 0.0000

***

! RbCu2TcBr8 PBE relaxed; values from VASP
! space-group type: C2/m
! magnetization: 1.86 μB/f.u.
! DOS(E_F): 11.941 states/eV/f.u.
! ΔE_f (raw): -0.5535 eV per atom
&SYSTEM
  ibrav = 0, nat = 12, ntyp = 4
/
ATOMIC_SPECIES
Rb 85.47 Rb.upf
Cu 63.55 Cu.upf
Tc 98.00 Tc.upf
Br 79.90 Br.upf
CELL_PARAMETERS angstrom
6.4704 -0.3383 0.1987
2.6846 5.8969 0.1987
0.7326 0.4448 9.9672
ATOMIC_POSITIONS crystal
Rb 0.0000 0.0000 0.5000
Cu 0.6336 0.6336 0.2028
Cu 0.3664 0.3664 0.7972
Tc 0.0000 0.0000 0.0000
Br 0.7810 0.2652 0.8172
Br 0.7648 0.7648 0.9924
Br 0.6732 0.6732 0.4251
Br 0.3268 0.3268 0.5749
Br 0.2352 0.2352 0.0076
Br 0.2652 0.7810 0.8172
Br 0.7348 0.2190 0.1828
Br 0.2190 0.7348 0.1828

***

! Rb3Ba2NpO6 PBE relaxed; values from VASP
! space-group type: C2/m
! magnetization: 2.00 μB/f.u.
! DOS(E_F): 8.312 states/eV/f.u.
! ΔE_f (raw): -2.2860 eV per atom
&SYSTEM
  ibrav = 0, nat = 12, ntyp = 4
/
ATOMIC_SPECIES
Rb 85.47 Rb.upf
Ba 137.33 Ba.upf
Np 237.00 Np.upf
O 16.00 O.upf
CELL_PARAMETERS angstrom
-4.9089 4.1653 -1.7500
1.6374 -5.0958 -3.9827
-3.2515 -3.5068 5.0124
ATOMIC_POSITIONS crystal
Rb 0.1607 0.8393 0.5000
Rb 0.8393 0.1607 0.5000
Rb 0.5000 0.5000 0.5000
Ba 0.3331 0.6669 0.0000
Ba 0.6669 0.3331 0.0000
Np 0.0000 0.0000 0.0000
O 0.9380 0.6654 0.8144
O 0.7873 0.7873 0.1852
O 0.0620 0.3346 0.1856
O 0.6654 0.9380 0.8144
O 0.2127 0.2127 0.8148
O 0.3346 0.0620 0.1856

***

! Sm2Al2GaPd5 PBE relaxed; values from VASP
! space-group type: P4/mbm
! magnetization: 0.00 μB/f.u.
! DOS(E_F): 6.382 states/eV/f.u.
! formation enthalpy at 0 K: -0.737 eV per atom
&SYSTEM
  ibrav = 0, nat = 20, ntyp = 4
/
ATOMIC_SPECIES
Sm 150.36 Sm.upf
Al 26.98 Al.upf
Ga 69.72 Ga.upf
Pd 106.42 Pd.upf
CELL_PARAMETERS angstrom
3.1029 0.0000 0.0000
0.0000 10.7826 0.0000
0.0000 0.0000 10.7826
ATOMIC_POSITIONS crystal
Sm 0.0000 0.6743 0.1743
Sm 0.0000 0.3257 0.8257
Sm 0.0000 0.1743 0.3257
Sm 0.0000 0.8257 0.6743
Al 0.0000 0.1297 0.6297
Al 0.0000 0.8703 0.3703
Al 0.0000 0.6297 0.8703
Al 0.0000 0.3703 0.1297
Ga 0.0000 0.0000 0.0000
Ga 0.0000 0.5000 0.5000
Pd 0.5000 0.1932 0.0563
Pd 0.5000 0.8068 0.9437
Pd 0.5000 0.0563 0.8068
Pd 0.5000 0.6932 0.4437
Pd 0.5000 0.9437 0.1932
Pd 0.5000 0.3068 0.5563
Pd 0.5000 0.5563 0.6932
Pd 0.5000 0.4437 0.3068
Pd 0.5000 0.5000 0.0000
Pd 0.5000 0.0000 0.5000

***

! PaCu6S8 PBE relaxed; values from VASP
! space-group type: R-3
! magnetization: 0.00 μB/f.u.
! DOS(E_F): 5.218 states/eV/f.u.
! ΔE_f (raw): -0.4422 eV per atom
&SYSTEM
  ibrav = 0, nat = 15, ntyp = 3
/
ATOMIC_SPECIES
Pa 231.04 Pa.upf
Cu 63.55 Cu.upf
S 32.06 S.upf
CELL_PARAMETERS angstrom
-2.8099 -1.7672 -5.5534
6.2223 -0.0982 -1.7699
-0.3531 -5.5571 3.2943
ATOMIC_POSITIONS crystal
Pa 0.0000 0.0000 0.0000
Cu 0.7050 0.4688 0.9333
Cu 0.4688 0.9333 0.7050
Cu 0.9333 0.7050 0.4688
Cu 0.2950 0.5312 0.0667
Cu 0.5312 0.0667 0.2950
Cu 0.0667 0.2950 0.5312
S 0.6954 0.6954 0.6954
S 0.3046 0.3046 0.3046
S 0.6988 0.7756 0.1890
S 0.7756 0.1890 0.6988
S 0.1890 0.6988 0.7756
S 0.3012 0.2244 0.8110
S 0.2244 0.8110 0.3012
S 0.8110 0.3012 0.2244

***

! Pm12Te3H5 PBE relaxed; values from VASP
! space-group type: Ia-3d
! electronic total energy: -4.6498 eV/atom
! magnetization: 0.00 μB/f.u.
! DOS(E_F): 20.205 states/eV/f.u.
&SYSTEM
  ibrav = 0, nat = 80, ntyp = 3
/
ATOMIC_SPECIES
Te 127.60 Te.upf
H 1.01 H.upf
Pm 145.00 Pm.upf
CELL_PARAMETERS angstrom
-2.6344 1.9907 13.4752
3.0437 -13.3570 -2.1932
10.7579 7.8827 -3.8227
ATOMIC_POSITIONS crystal
Te 0.7500 0.3750 0.1250
Te 0.8750 0.7500 0.1250
Te 0.3750 0.7500 0.6250
Te 0.2500 0.1250 0.3750
Te 0.8750 0.1250 0.2500
Te 0.3750 0.6250 0.2500
Te 0.6250 0.3750 0.7500
Te 0.1250 0.8750 0.7500
Te 0.7500 0.8750 0.6250
Te 0.6250 0.2500 0.3750
Te 0.1250 0.2500 0.8750
Te 0.2500 0.6250 0.8750
H 0.1250 0.3750 0.2500
H 0.0000 0.5000 0.0000
H 0.0000 0.0000 0.0000
H 0.3750 0.2500 0.1250
H 0.5000 0.0000 0.5000
H 0.5000 0.5000 0.0000
H 0.1250 0.7500 0.3750
H 0.7500 0.1250 0.8750
H 0.7500 0.6250 0.3750
H 0.3750 0.1250 0.7500
H 0.6250 0.8750 0.2500
H 0.5000 0.5000 0.5000
H 0.5000 0.0000 0.0000
H 0.0000 0.0000 0.5000
H 0.2500 0.3750 0.6250
H 0.2500 0.8750 0.1250
H 0.0000 0.5000 0.5000
H 0.8750 0.2500 0.6250
H 0.6250 0.7500 0.8750
H 0.8750 0.6250 0.7500
Pm 0.7065 0.1106 0.0140
Pm 0.3074 0.5140 0.4034
Pm 0.9860 0.3894 0.2935
Pm 0.5140 0.2065 0.1106
Pm 0.5960 0.7065 0.6926
Pm 0.9860 0.5966 0.1926
Pm 0.3074 0.7935 0.4040
Pm 0.0966 0.9040 0.1106
Pm 0.5966 0.9860 0.6926
Pm 0.7065 0.5960 0.1926
Pm 0.7935 0.4860 0.3894
Pm 0.8074 0.9034 0.0140
Pm 0.1106 0.7065 0.5140
Pm 0.3894 0.4034 0.0960
Pm 0.0960 0.9034 0.3894
Pm 0.4040 0.1106 0.5966
Pm 0.0960 0.1926 0.2065
Pm 0.4860 0.6926 0.0966
Pm 0.8074 0.9040 0.2935
Pm 0.1106 0.4040 0.0966
Pm 0.3894 0.9860 0.7935
Pm 0.5966 0.6106 0.4040
Pm 0.9034 0.8074 0.5140
Pm 0.7935 0.3074 0.9040
Pm 0.4034 0.3894 0.5960
Pm 0.0966 0.1926 0.4860
Pm 0.2065 0.6926 0.0960
Pm 0.1926 0.0960 0.7065
Pm 0.6106 0.0140 0.2065
Pm 0.8894 0.5960 0.9034
Pm 0.5140 0.3074 0.9034
Pm 0.5960 0.8894 0.4034
Pm 0.9040 0.8074 0.7935
Pm 0.9040 0.0966 0.6106
Pm 0.8894 0.2935 0.4860
Pm 0.1926 0.0966 0.9860
Pm 0.6106 0.5966 0.9040
Pm 0.4034 0.0140 0.3074
Pm 0.2935 0.4040 0.8074
Pm 0.2065 0.5140 0.6106
Pm 0.9034 0.0960 0.8894
Pm 0.6926 0.2065 0.5960
Pm 0.4860 0.7935 0.8894
Pm 0.0140 0.4034 0.8074
Pm 0.4040 0.2935 0.3074
Pm 0.0140 0.6106 0.7065
Pm 0.6926 0.4860 0.5966
Pm 0.2935 0.8894 0.9860

***

! Sr2Cu3Rh2 PBE relaxed; values from VASP
! space-group type: C2/m
! magnetization: 0.00 μB/f.u.
! DOS(E_F): 2.449 states/eV/f.u.
! formation enthalpy at 0 K: -0.164 eV per atom
&SYSTEM
  ibrav = 0, nat = 7, ntyp = 3
/
ATOMIC_SPECIES
Sr 87.62 Sr.upf
Cu 63.55 Cu.upf
Rh 102.91 Rh.upf
CELL_PARAMETERS angstrom
4.2676 0.0000 0.0000
-2.1338 5.3309 -0.3769
0.0000 -2.9081 6.4945
ATOMIC_POSITIONS crystal
Sr 0.8586 0.7172 0.2344
Sr 0.1414 0.2828 0.7656
Cu 0.5000 0.0000 0.0000
Cu 0.6641 0.3283 0.4235
Cu 0.3359 0.6717 0.5765
Rh 0.8790 0.7580 0.7974
Rh 0.1210 0.2420 0.2026

***

! GaSnAu PBE relaxed; values from VASP
! space-group type: P2_1
! magnetization: 0.00 μB/f.u.
! DOS(E_F): 0.862 states/eV/f.u.
! formation enthalpy at 0 K: -0.139 eV per atom
&SYSTEM
  ibrav = 0, nat = 6, ntyp = 3
/
ATOMIC_SPECIES
Au 196.97 Au.upf
Sn 118.71 Sn.upf
Ga 69.72 Ga.upf
CELL_PARAMETERS angstrom
5.1348 -0.0001 0.0810
0.0008 7.1760 -0.0001
2.4960 -0.0009 3.6327
ATOMIC_POSITIONS crystal
Au 0.1963 0.8127 0.9374
Au 0.7292 0.3127 0.8779
Sn 0.3642 0.1794 0.6077
Sn 0.5614 0.6794 0.2074
Ga 0.0677 0.4480 0.1955
Ga 0.8580 0.9480 0.6200

***

! TbZnAgGe PBE relaxed; values from VASP
! space-group type: F-43m
! magnetization: 0.00 μB/f.u.
! DOS(E_F): 1.317 states/eV/f.u.
! formation enthalpy at 0 K: -0.313 eV per atom
&SYSTEM
  ibrav = 0, nat = 4, ntyp = 4
/
ATOMIC_SPECIES
Ge 72.64 Ge.upf
Tb 158.93 Tb.upf
Zn 65.41 Zn.upf
Ag 107.87 Ag.upf
CELL_PARAMETERS angstrom
-4.8082 -0.2902 0.1697
-2.1133 -3.8443 1.9967
-2.2929 0.4296 4.2177
ATOMIC_POSITIONS crystal
Ge 0.2500 0.2500 0.2500
Tb 0.5000 0.5000 0.5000
Zn 0.7500 0.7500 0.7500
Ag 0.0000 0.0000 0.0000

***

! InAg2Pt PBE relaxed; values from VASP
! space-group type: Cmmm
! magnetization: 0.00 μB/f.u.
! DOS(E_F): 1.504 states/eV/f.u.
! formation enthalpy at 0 K: -0.059 eV per atom
&SYSTEM
  ibrav = 0, nat = 4, ntyp = 3
/
ATOMIC_SPECIES
Ag 107.87 Ag.upf
Pt 195.08 Pt.upf
In 114.82 In.upf
CELL_PARAMETERS angstrom
5.0377 0.0594 0.0000
-1.9032 4.6647 0.0000
0.0000 0.0000 3.0873
ATOMIC_POSITIONS crystal
Ag 0.0000 0.0000 0.0000
Ag 0.5000 0.5000 0.0000
Pt 0.0000 0.5000 0.5000
In 0.5000 0.0000 0.5000

***

! SmEr6Sc8 PBE relaxed; values from VASP
! space-group type: R-3
! magnetization: 0.00 μB/f.u.
! DOS(E_F): 24.453 states/eV/f.u.
! formation enthalpy at 0 K: 0.147 eV per atom
&SYSTEM
  ibrav = 0, nat = 15, ntyp = 3
/
ATOMIC_SPECIES
Sm 150.36 Sm.upf
Er 167.26 Er.upf
Sc 44.96 Sc.upf
CELL_PARAMETERS angstrom
8.5559 0.0000 0.0000
4.2779 7.4096 0.0000
4.2779 2.4699 6.5699
ATOMIC_POSITIONS crystal
Sm 0.0000 0.0000 0.0000
Er 0.4622 0.8955 0.8699
Er 0.1045 0.2276 0.1301
Er 0.2276 0.5378 0.1301
Er 0.7724 0.4622 0.8699
Er 0.8955 0.7724 0.8699
Er 0.5378 0.1045 0.1301
Sc 0.7152 0.1112 0.4272
Sc 0.8888 0.2536 0.5728
Sc 0.2536 0.2848 0.5728
Sc 0.5745 0.5745 0.2764
Sc 0.4255 0.4255 0.7236
Sc 0.7464 0.7152 0.4272
Sc 0.1112 0.7464 0.4272
Sc 0.2848 0.8888 0.5728

***

! Nb2InH PBE relaxed; values from VASP
! space-group type: R3m
! magnetization: 0.00 μB/f.u.
! energy above the lowest structure with this stoichiometry: 0.000 eV per atom
! DOS(E_F): 3.023 states/eV/f.u.
&SYSTEM
  ibrav = 0, nat = 4, ntyp = 3
/
ATOMIC_SPECIES
Nb 92.91 Nb.upf
In 114.82 In.upf
H 1.01 H.upf
CELL_PARAMETERS angstrom
-1.6719 -2.7519 -0.6854
-0.2039 -2.4017 2.2424
-6.2858 1.1034 3.0197
ATOMIC_POSITIONS crystal
Nb 0.0481 0.0481 0.8562
Nb 0.2846 0.2846 0.1452
In 0.5005 0.5005 0.4990
H 0.6669 0.6669 0.9996

***

! HoUPa2As4 PBE relaxed; values from VASP
! space-group type: P2/m
! magnetization: 2.99 μB/f.u.
! DOS(E_F): 12.792 states/eV/f.u.
! formation enthalpy at 0 K: -1.080 eV per atom
&SYSTEM
  ibrav = 0, nat = 8, ntyp = 4
/
ATOMIC_SPECIES
Ho 164.93 Ho.upf
U 238.03 U.upf
Pa 231.04 Pa.upf
As 74.92 As.upf
CELL_PARAMETERS angstrom
4.0808 0.0000 0.0000
0.0000 7.1153 0.1413
0.0000 -2.4681 6.6202
ATOMIC_POSITIONS crystal
Ho 0.5000 0.5000 0.0000
U 0.0000 0.0000 0.0000
Pa 0.5000 0.0000 0.5000
Pa 0.0000 0.5000 0.5000
As 0.5000 0.2507 0.2490
As 0.5000 0.7493 0.7510
As 0.0000 0.2506 0.7507
As 0.0000 0.7494 0.2493

***

! Zr4C2Se PBE relaxed; values from VASP
! space-group type: R-3m
! magnetization: 0.20 μB/f.u.
! DOS(E_F): 2.694 states/eV/f.u.
! ΔE_f (raw): -0.8871 eV per atom
&SYSTEM
  ibrav = 0, nat = 7, ntyp = 3
/
ATOMIC_SPECIES
C 12.01 C.upf
Se 78.96 Se.upf
Zr 91.22 Zr.upf
CELL_PARAMETERS angstrom
3.3908 0.0000 0.4927
1.6596 2.9569 0.4927
-0.0011 -0.0006 11.9213
ATOMIC_POSITIONS crystal
C 0.4239 0.4239 0.7282
C 0.5761 0.5761 0.2718
Se 0.0000 0.0000 0.0000
Zr 0.1267 0.1267 0.6198
Zr 0.2769 0.2769 0.1694
Zr 0.7231 0.7231 0.8306
Zr 0.8733 0.8733 0.3802

***

! Na3Mn3NbS8 PBE relaxed; values from VASP
! space-group type: R-3m
! magnetization: 12.66 μB/f.u.
! DOS(E_F): 6.981 states/eV/f.u.
! ΔE_f (raw): -0.8265 eV per atom
&SYSTEM
  ibrav = 0, nat = 15, ntyp = 4
/
ATOMIC_SPECIES
Na 22.99 Na.upf
Mn 54.94 Mn.upf
Nb 92.91 Nb.upf
S 32.06 S.upf
CELL_PARAMETERS angstrom
7.1760 0.0000 0.0000
-3.5880 6.2157 -0.0228
0.0000 -4.1213 6.7143
ATOMIC_POSITIONS crystal
Na 0.0000 0.0000 0.0000
Na 0.0000 0.5000 0.0000
Na 0.5000 0.5000 0.0000
Mn 0.5000 0.0000 0.5000
Mn 0.5000 0.5000 0.5000
Mn 0.0000 0.5000 0.5000
Nb 0.0000 0.0000 0.5000
S 0.2662 0.5324 0.2992
S 0.7338 0.4676 0.7008
S 0.7642 0.5285 0.2963
S 0.2358 0.4715 0.7037
S 0.7643 0.0316 0.2960
S 0.2357 0.9684 0.7040
S 0.2672 0.0316 0.2960
S 0.7328 0.9684 0.7040

***

! NpHg2Pd8 PBE relaxed; values from VASP
! space-group type: C2/m
! magnetization: 3.01 μB/f.u.
! energy above the lowest structure with this stoichiometry: 0.135 eV per atom
! DOS(E_F): 13.193 states/eV/f.u.
! formation enthalpy at 0 K: -0.120 eV per atom
&SYSTEM
  ibrav = 0, nat = 11, ntyp = 3
/
ATOMIC_SPECIES
Np 237.00 Np.upf
Hg 200.59 Hg.upf
Pd 106.42 Pd.upf
CELL_PARAMETERS angstrom
-2.5001 -3.2337 3.4521
1.1956 -6.7653 -2.8401
4.9101 -5.4817 1.0523
ATOMIC_POSITIONS crystal
Np 0.0000 0.0000 0.0000
Hg 0.5694 0.2144 0.2144
Hg 0.4306 0.7856 0.7856
Pd 0.6904 0.1678 0.6554
Pd 0.3096 0.3446 0.8322
Pd 0.0319 0.2523 0.2523
Pd 0.9681 0.7477 0.7477
Pd 0.6904 0.6554 0.1678
Pd 0.3096 0.8322 0.3446
Pd 0.2106 0.4192 0.4192
Pd 0.7894 0.5808 0.5808